# 1
The following is a DFT calculation (PBE) of a relaxed NpTcHg crystal.

Lattice parameters (Å, degrees): 3.083 3.081 13.027 90.00 90.11 90.00
Sites, in units of the cell vectors:
Np1 0.249 0.250 0.288
Np2 0.751 0.750 0.712
Tc1 0.250 0.250 0.557
Tc2 0.750 0.750 0.443
Hg1 0.251 0.250 0.906
Hg2 0.749 0.750 0.094

Output
- Raw total energy: -7.7286 eV/atom
- SG: No. 11
- Formation enthalpy at 0 K: 0.141 eV per atom

---

# 2
The following is a DFT calculation (PBE) of a relaxed NpTl2Hg2Te4 crystal.

Lattice parameters (Å, degrees): 8.457 8.457 8.463 106.07 106.07 30.91
Sites, in units of the cell vectors:
Np1 0.000 0.000 0.000
Tl1 0.130 0.130 0.562
Tl2 0.870 0.870 0.438
Hg1 0.337 0.337 0.022
Hg2 0.663 0.663 0.978
Te1 0.206 0.206 0.213
Te2 0.496 0.496 0.735
Te3 0.504 0.504 0.265
Te4 0.794 0.794 0.787

Output
- Raw total energy: -3.6918 eV/atom
- SG: No. 12

---

# 3
The following is a DFT calculation (PBE) of a relaxed NpTlHgTe3 crystal.

Lattice parameters (Å, degrees): 9.327 4.561 10.512 90.00 106.79 90.00
Sites, in units of the cell vectors:
Np1 0.182 0.250 0.148
Np2 0.818 0.750 0.852
Tl1 0.283 0.750 0.771
Tl2 0.717 0.250 0.229
Hg1 0.405 0.750 0.388
Hg2 0.595 0.250 0.612
Te1 0.042 0.250 0.841
Te2 0.261 0.250 0.469
Te3 0.402 0.750 0.115
Te4 0.598 0.250 0.885
Te5 0.739 0.750 0.531
Te6 0.958 0.750 0.159

Output
- Raw total energy: -4.5550 eV/atom
- SG: No. 11

---

# 4
The following is a DFT calculation (PBE) of a relaxed Np2Tl3HgTe6 crystal.

Lattice parameters (Å, degrees): 7.801 7.801 8.416 98.17 98.17 120.41
Sites, in units of the cell vectors:
Np1 0.169 0.831 0.000
Np2 0.831 0.169 0.000
Tl1 0.000 0.000 0.500
Tl2 0.339 0.661 0.500
Tl3 0.661 0.339 0.500
Hg1 0.500 0.500 0.000
Te1 0.075 0.428 0.778
Te2 0.233 0.233 0.200
Te3 0.428 0.075 0.778
Te4 0.572 0.925 0.222
Te5 0.767 0.767 0.800
Te6 0.925 0.572 0.222

Output
- Raw total energy: -4.7595 eV/atom
- SG: No. 12

---

# 5
The following is a DFT calculation (PBE) of a relaxed Np3Tl4HgTe8 crystal.

Lattice parameters (Å, degrees): 9.602 9.602 9.602 55.84 55.84 55.84
Sites, in units of the cell vectors:
Np1 0.000 0.500 0.500
Np2 0.500 0.000 0.500
Np3 0.500 0.500 0.000
Tl1 0.000 0.000 0.500
Tl2 0.000 0.500 0.000
Tl3 0.500 0.000 0.000
Tl4 0.500 0.500 0.500
Hg1 0.000 0.000 0.000
Te1 0.241 0.241 0.731
Te2 0.241 0.731 0.241
Te3 0.262 0.262 0.262
Te4 0.269 0.759 0.759
Te5 0.731 0.241 0.241
Te6 0.738 0.738 0.738
Te7 0.759 0.269 0.759
Te8 0.759 0.759 0.269

Output
- Raw total energy: -5.0571 eV/atom
- SG: No. 166

---

# 6
The following is a DFT calculation (PBE) of a relaxed ThNpHg crystal.

Lattice parameters (Å, degrees): 9.336 9.336 3.689 90.00 90.00 150.15
Sites, in units of the cell vectors:
Th1 0.097 0.903 0.750
Th2 0.903 0.097 0.250
Np1 0.460 0.540 0.750
Np2 0.540 0.460 0.250
Hg1 0.289 0.711 0.750
Hg2 0.711 0.289 0.250

Output
- Raw total energy: -6.7727 eV/atom
- SG: No. 63
- Formation enthalpy at 0 K: 0.115 eV per atom

---

# 7
The following is a DFT calculation (PBE) of a relaxed NpTi2Hg crystal.

Lattice parameters (Å, degrees): 4.912 4.912 3.098 90.00 90.00 90.00
Sites, in units of the cell vectors:
Np1 0.000 0.000 0.000
Ti1 0.000 0.500 0.500
Ti2 0.500 0.000 0.500
Hg1 0.500 0.500 0.000

Output
- Raw total energy: -7.1056 eV/atom
- SG: No. 123
- Formation enthalpy at 0 K: 0.153 eV per atom

---

# 8
The following is a DFT calculation (PBE) of a relaxed NpTiHg crystal.

Lattice parameters (Å, degrees): 3.795 3.795 9.018 90.00 90.00 90.00
Sites, in units of the cell vectors:
Np1 0.250 0.750 0.000
Np2 0.750 0.250 0.000
Ti1 0.250 0.250 0.235
Ti2 0.750 0.750 0.765
Hg1 0.250 0.750 0.500
Hg2 0.750 0.250 0.500

Output
- Raw total energy: -6.3069 eV/atom
- SG: No. 129
- Formation enthalpy at 0 K: 0.739 eV per atom

---

# 9
The following is a DFT calculation (PBE) of a relaxed NpTi2Hg crystal.

Lattice parameters (Å, degrees): 3.340 3.340 6.719 90.00 90.00 90.00
Sites, in units of the cell vectors:
Np1 0.000 0.000 0.000
Ti1 0.500 0.500 0.231
Ti2 0.500 0.500 0.769
Hg1 0.000 0.000 0.500

Output
- Raw total energy: -7.0713 eV/atom
- SG: No. 123
- Formation enthalpy at 0 K: 0.187 eV per atom

---

# 10
The following is a DFT calculation (PBE) of a relaxed NpTlHg2 crystal.

Lattice parameters (Å, degrees): 4.886 4.886 4.375 90.00 90.00 90.00
Sites, in units of the cell vectors:
Np1 0.000 0.000 0.000
Tl1 0.500 0.500 0.000
Hg1 0.000 0.500 0.500
Hg2 0.500 0.000 0.500

Output
- Raw total energy: -3.7899 eV/atom
- SG: No. 123
- Formation enthalpy at 0 K: 0.188 eV per atom

---

# 11
The following is a DFT calculation (PBE) of a relaxed NpTlHg2 crystal.

Lattice parameters (Å, degrees): 3.291 3.291 9.552 90.00 90.00 90.00
Sites, in units of the cell vectors:
Np1 0.000 0.000 0.000
Tl1 0.000 0.000 0.500
Hg1 0.500 0.500 0.240
Hg2 0.500 0.500 0.760

Output
- Raw total energy: -3.8178 eV/atom
- SG: No. 123
- Formation enthalpy at 0 K: 0.160 eV per atom

---

# 12
The following is a DFT calculation (PBE) of a relaxed NpZn4Hg crystal.

Lattice parameters (Å, degrees): 5.445 5.445 5.445 60.00 60.00 60.00
Sites, in units of the cell vectors:
Np1 0.000 0.000 0.000
Zn1 0.124 0.625 0.625
Zn2 0.625 0.124 0.625
Zn3 0.625 0.625 0.124
Zn4 0.625 0.625 0.625
Hg1 0.250 0.250 0.250

Output
- Raw total energy: -2.9059 eV/atom
- SG: No. 216
- Formation enthalpy at 0 K: 0.150 eV per atom

---

# 13
The following is a DFT calculation (PBE) of a relaxed Np2Zn15Hg2 crystal.

Lattice parameters (Å, degrees): 6.914 6.914 6.914 83.02 83.02 83.02
Sites, in units of the cell vectors:
Np1 0.157 0.157 0.157
Np2 0.843 0.843 0.843
Zn1 0.000 0.500 0.500
Zn2 0.145 0.145 0.668
Zn3 0.145 0.668 0.145
Zn4 0.195 0.500 0.805
Zn5 0.195 0.805 0.500
Zn6 0.332 0.855 0.855
Zn7 0.500 0.000 0.500
Zn8 0.500 0.195 0.805
Zn9 0.500 0.500 0.000
Zn10 0.500 0.805 0.195
Zn11 0.668 0.145 0.145
Zn12 0.805 0.195 0.500
Zn13 0.805 0.500 0.195
Zn14 0.855 0.332 0.855
Zn15 0.855 0.855 0.332
Hg1 0.392 0.392 0.392
Hg2 0.608 0.608 0.608

Output
- Raw total energy: -2.4186 eV/atom
- SG: No. 166
- Formation enthalpy at 0 K: -0.019 eV per atom

---

# 14
The following is a DFT calculation (PBE) of a relaxed Zr2NpHg crystal.

Lattice parameters (Å, degrees): 5.177 5.177 3.279 90.00 90.00 90.00
Sites, in units of the cell vectors:
Zr1 0.000 0.500 0.000
Zr2 0.500 0.000 0.000
Np1 0.000 0.000 0.500
Hg1 0.500 0.500 0.500

Output
- Raw total energy: -7.4826 eV/atom
- SG: No. 123
- Formation enthalpy at 0 K: 0.102 eV per atom

---

# 15
The following is a DFT calculation (PBE) of a relaxed Zr2NpHg crystal.

Lattice parameters (Å, degrees): 3.257 3.257 8.607 90.00 90.00 90.00
Sites, in units of the cell vectors:
Zr1 0.000 0.000 0.240
Zr2 0.000 0.000 0.760
Np1 0.500 0.500 0.500
Hg1 0.500 0.500 0.000

Output
- Raw total energy: -7.4694 eV/atom
- SG: No. 123
- Formation enthalpy at 0 K: 0.115 eV per atom

---

# 16
The following is a DFT calculation (PBE) of a relaxed ZrNpHg2 crystal.

Lattice parameters (Å, degrees): 3.116 3.116 9.313 90.00 90.00 90.00
Sites, in units of the cell vectors:
Zr1 0.000 0.000 0.000
Np1 0.000 0.000 0.500
Hg1 0.500 0.500 0.236
Hg2 0.500 0.500 0.764

Output
- Raw total energy: -5.4860 eV/atom
- SG: No. 123
- Formation enthalpy at 0 K: 0.037 eV per atom

---

# 17
The following is a DFT calculation (PBE) of a relaxed Zr2NpHg crystal.

Lattice parameters (Å, degrees): 10.097 10.097 10.097 18.69 18.69 18.69
Sites, in units of the cell vectors:
Zr1 0.249 0.249 0.249
Zr2 0.751 0.751 0.751
Np1 0.000 0.000 0.000
Hg1 0.500 0.500 0.500

Output
- Raw total energy: -7.4376 eV/atom
- SG: No. 166
- Formation enthalpy at 0 K: 0.147 eV per atom

---

# 18
The following is a DFT calculation (PBE) of a relaxed HgO2 crystal.

Lattice parameters (Å, degrees): 2.868 4.725 5.320 90.02 90.17 90.43
Sites, in units of the cell vectors:
Hg1 0.000 0.000 0.000
O1 0.467 0.367 0.501
O2 0.469 0.633 0.501

Output
- Raw total energy: -3.3735 eV/atom
- SG: No. 1

---

# 19
The following is a DFT calculation (PBE) of a relaxed HgO crystal.

Lattice parameters (Å, degrees): 4.010 11.493 5.089 90.00 90.00 90.00
Sites, in units of the cell vectors:
Hg1 0.250 0.087 0.223
Hg2 0.250 0.413 0.223
Hg3 0.250 0.750 0.288
Hg4 0.750 0.250 0.712
Hg5 0.750 0.587 0.777
Hg6 0.750 0.913 0.777
O1 0.250 0.250 0.416
O2 0.250 0.585 0.094
O3 0.250 0.915 0.094
O4 0.750 0.085 0.906
O5 0.750 0.415 0.906
O6 0.750 0.750 0.584

Output
- Raw total energy: -2.8220 eV/atom
- SG: No. 59

---

# 20
The following is a DFT calculation (PBE) of a relaxed Hg4O crystal.

Lattice parameters (Å, degrees): 4.958 4.958 4.958 90.00 90.00 90.00
Sites, in units of the cell vectors:
Hg1 0.000 0.000 0.000
Hg2 0.000 0.500 0.500
Hg3 0.500 0.000 0.500
Hg4 0.500 0.500 0.000
O1 0.500 0.500 0.500

Output
- Raw total energy: -1.0139 eV/atom
- SG: No. 221

---

# 21
The following is a DFT calculation (PBE) of a relaxed HgO crystal.

Lattice parameters (Å, degrees): 6.744 5.780 3.732 90.00 90.00 90.00
Sites, in units of the cell vectors:
Hg1 0.115 0.250 0.243
Hg2 0.385 0.750 0.743
Hg3 0.615 0.250 0.257
Hg4 0.885 0.750 0.757
O1 0.138 0.750 0.069
O2 0.362 0.250 0.569
O3 0.638 0.750 0.431
O4 0.862 0.250 0.931

Output
- Raw total energy: -2.9146 eV/atom
- SG: No. 62

---

# 22
The following is a DFT calculation (PBE) of a relaxed HgO crystal.

Lattice parameters (Å, degrees): 6.062 6.589 3.533 90.00 90.00 90.00
Sites, in units of the cell vectors:
Hg1 0.000 0.000 0.237
Hg2 0.000 0.500 0.262
Hg3 0.500 0.000 0.738
Hg4 0.500 0.500 0.763
O1 0.201 0.354 0.761
O2 0.299 0.854 0.239
O3 0.701 0.146 0.239
O4 0.799 0.646 0.761

Output
- Raw total energy: -2.8418 eV/atom
- SG: No. 18

---

# 23
The following is a DFT calculation (PBE) of a relaxed HgO crystal.

Lattice parameters (Å, degrees): 9.147 9.147 3.658 90.00 90.00 120.00
Sites, in units of the cell vectors:
Hg1 0.103 0.694 0.250
Hg2 0.306 0.409 0.250
Hg3 0.409 0.103 0.750
Hg4 0.591 0.897 0.250
Hg5 0.694 0.591 0.750
Hg6 0.897 0.306 0.750
O1 0.075 0.416 0.250
O2 0.342 0.925 0.250
O3 0.416 0.342 0.750
O4 0.584 0.658 0.250
O5 0.658 0.075 0.750
O6 0.925 0.584 0.750

Output
- Raw total energy: -2.8122 eV/atom
- SG: No. 176

---

# 24
The following is a DFT calculation (PBE) of a relaxed HgO crystal.

Lattice parameters (Å, degrees): 7.111 6.549 5.730 70.41 60.20 49.39
Sites, in units of the cell vectors:
Hg1 0.101 0.649 0.101
Hg2 0.351 0.899 0.351
Hg3 0.649 0.101 0.649
Hg4 0.899 0.351 0.899
O1 0.030 0.030 0.720
O2 0.280 0.280 0.970
O3 0.720 0.720 0.030
O4 0.970 0.970 0.280

Output
- Raw total energy: -2.8827 eV/atom
- SG: No. 70